Entry 1:
This record from Alexandria via LeMat-Bulk describes a relaxed structure of ScTcW2. The functional is PBE.

```
ScTcW2
1.0
2.7715 0.0000 0.0000
0.0000 4.5802 0.0000
0.0000 0.0000 5.2859
Sc Tc W
1 1 2
direct
0.0000 0.0000 0.0000 Sc
0.0000 0.0000 0.5000 Tc
0.5000 0.5000 0.2510 W
0.5000 0.5000 0.7490 W
```

Summary:
The value obtained for the energy is -10.376 eV per atom. The calculation puts the density at 12.64 g/cm3. The magnetization is 0.00 μB per atom.



Entry 2:
This record from Alexandria via LeMat-Bulk describes a relaxed structure of ScTcW2. The functional is PBE.

```
ScTcW2
1.0
2.8052 0.0000 0.0000
0.0000 4.4615 0.0000
-0.8964 0.0000 5.2619
Sc Tc W
1 1 2
direct
0.0000 0.0000 0.0000 Sc
0.7387 0.5000 0.2435 Tc
0.2842 0.5000 0.7428 W
0.5135 0.0000 0.4960 W
```

Summary:
The value obtained for the energy is -10.583 eV per atom. The calculation puts the density at 12.88 g/cm3. The magnetization is 0.00 μB per atom.



Entry 3:
This record from Alexandria via LeMat-Bulk describes a relaxed structure of ScTcW2. The functional is PBE.

```
ScTcW2
1.0
0.0000 3.1986 3.1986
3.1986 0.0000 3.1986
3.1986 3.1986 0.0000
Sc Tc W
1 1 2
direct
0.0000 0.0000 0.0000 Sc
0.2500 0.2500 0.2500 Tc
0.5000 0.5000 0.5000 W
0.7500 0.7500 0.7500 W
```

Summary:
The value obtained for the energy is -10.635 eV per atom. The calculation puts the density at 12.96 g/cm3. The magnetization is 0.00 μB per atom.



Result set for relative energy among the computed polymorphs: 351, 145, 92 meV/atom, one per record in the order listed.